[1]
Pr4Er3, relaxed, DFT PBE-GGA; VASP energy = -4.55 eV/atom; calculated volume = 34.18 A^3/atom
1.0
17.132 0.000 0.000
0.000 3.529 0.000
-4.024 0.000 7.915
Pr Er
8 6
direct
0.080 0.000 0.207
0.139 0.500 0.906
0.361 0.000 0.094
0.420 0.500 0.793
0.580 0.500 0.207
0.639 0.000 0.906
0.861 0.500 0.094
0.920 0.000 0.793
0.000 0.000 0.500
0.220 0.000 0.642
0.280 0.500 0.358
0.500 0.500 0.500
0.720 0.500 0.642
0.780 0.000 0.358


[2]
Pr2Er, relaxed, DFT PBE-GGA; VASP energy = -4.04 eV/atom; calculated volume = 40.22 A^3/atom
1.0
5.552 0.000 0.000
-2.776 4.808 0.000
0.000 0.000 13.566
Pr Er
6 3
direct
0.000 0.000 0.250
0.000 0.000 0.750
0.333 0.667 0.416
0.333 0.667 0.917
0.667 0.333 0.083
0.667 0.333 0.584
0.000 0.000 0.000
0.333 0.667 0.667
0.667 0.333 0.333


[3]
Pr5Er7, relaxed, DFT PBE-GGA; VASP energy = -4.47 eV/atom; calculated volume = 33.47 A^3/atom
1.0
4.858 -2.867 0.000
4.858 2.867 0.000
-3.395 0.000 14.418
Pr Er
5 7
direct
0.000 0.000 0.000
0.140 0.140 0.435
0.390 0.390 0.201
0.610 0.610 0.799
0.860 0.860 0.565
0.058 0.058 0.215
0.234 0.234 0.673
0.311 0.311 0.916
0.500 0.500 0.500
0.689 0.689 0.084
0.766 0.766 0.327
0.942 0.942 0.785


[4]
Pr8Er3, relaxed, DFT PBE-GGA; VASP energy = -4.70 eV/atom; calculated volume = 34.64 A^3/atom
1.0
5.789 -2.577 0.000
5.789 2.577 0.000
-3.451 0.000 12.770
Pr Er
8 3
direct
0.046 0.046 0.318
0.135 0.135 0.954
0.228 0.228 0.591
0.319 0.319 0.228
0.681 0.681 0.772
0.772 0.772 0.409
0.865 0.865 0.046
0.954 0.954 0.682
0.409 0.409 0.866
0.500 0.500 0.500
0.591 0.591 0.134


Number 1: DOS(E_F) 23.5 states/eV per cell, energy relative to the lowest polymorph listed for this composition 113 meV/atom. Number 2: DOS(E_F) 13.9 states/eV per cell, energy relative to the lowest polymorph listed for this composition 644 meV/atom. Number 3: DOS(E_F) 19.0 states/eV per cell, energy relative to the lowest polymorph listed for this composition 171 meV/atom. Number 4: DOS(E_F) 16.9 states/eV per cell, energy relative to the lowest polymorph listed for this composition 0 meV/atom.